(1)
This record from Alexandria describes a relaxed structure of La2PW. The functional is PBE.

Summary:
Energy above the lowest structure with this stoichiometry = 32.36 kJ per mole of atoms

```
data_La2PW
_chemical_formula_sum 'La4 P2 W2'
_symmetry_space_group_name_H-M 'C 1 2/m 1'
_symmetry_Int_Tables_number 12
_symmetry_space_group_name_Hall '-C 2y'
_cell_length_a 6.259
_cell_length_b 8.142
_cell_length_c 3.625
_cell_angle_alpha 90.00
_cell_angle_beta 90.36
_cell_angle_gamma 90.00
loop_
_atom_site_label
_atom_site_fract_x
_atom_site_fract_y
_atom_site_fract_z
La1 0.250 0.250 0.000
P1 0.000 0.000 0.500
W1 0.000 0.500 0.500
```

(2)
This record from Alexandria describes a relaxed structure of RbPbI2O. The functional is PBE.

Summary:
Energy above the lowest structure with this stoichiometry = 82.02 kJ per mole of atoms

```
data_RbPbI2O
_chemical_formula_sum 'Rb1 Pb1 I2 O1'
_symmetry_space_group_name_H-M 'P 4/m m m'
_symmetry_Int_Tables_number 123
_symmetry_space_group_name_Hall '-P 4 2'
_cell_length_a 6.591
_cell_length_b 6.591
_cell_length_c 4.823
_cell_angle_alpha 90.00
_cell_angle_beta 90.00
_cell_angle_gamma 90.00
loop_
_atom_site_label
_atom_site_fract_x
_atom_site_fract_y
_atom_site_fract_z
Rb1 0.000 0.000 0.000
Pb1 0.500 0.500 0.500
I1 0.000 0.500 0.000
O1 0.000 0.000 0.500
```

(3)
This record from Alexandria describes a relaxed structure of AlNiHg. The functional is PBE.

Summary:
Energy above the lowest structure with this stoichiometry = 0.00 kJ per mole of atoms

```
data_AlNiHg
_chemical_formula_sum 'Al2 Ni2 Hg2'
_symmetry_space_group_name_H-M 'C 1 m 1'
_symmetry_Int_Tables_number 8
_symmetry_space_group_name_Hall 'C -2y'
_cell_length_a 9.788
_cell_length_b 3.184
_cell_length_c 3.181
_cell_angle_alpha 90.00
_cell_angle_beta 108.39
_cell_angle_gamma 90.00
loop_
_atom_site_label
_atom_site_fract_x
_atom_site_fract_y
_atom_site_fract_z
Al1 0.000 0.000 0.000
Ni1 0.395 0.000 0.398
Hg1 0.201 0.500 0.703
```

(4)
This record from Alexandria describes a relaxed structure of MgGa2Rh. The functional is PBE.

Summary:
E_tot = -4.098 eV/atom

```
data_MgGa2Rh
_chemical_formula_sum 'Mg1 Ga2 Rh1'
_symmetry_space_group_name_H-M 'P 4/m m m'
_symmetry_Int_Tables_number 123
_symmetry_space_group_name_Hall '-P 4 2'
_cell_length_a 3.953
_cell_length_b 3.953
_cell_length_c 3.973
_cell_angle_alpha 90.00
_cell_angle_beta 90.00
_cell_angle_gamma 90.00
loop_
_atom_site_label
_atom_site_fract_x
_atom_site_fract_y
_atom_site_fract_z
Mg1 0.000 0.000 0.000
Ga1 0.000 0.500 0.500
Rh1 0.500 0.500 0.000
```

(5)
This record from Alexandria describes a relaxed structure of Mg3ZnCu3. The functional is PBE.

Summary:
Energy above the lowest structure with this stoichiometry = 4.13 kJ per mole of atoms

```
data_Mg3ZnCu3
_chemical_formula_sum 'Mg6 Zn2 Cu6'
_symmetry_space_group_name_H-M 'P 1 21/m 1'
_symmetry_Int_Tables_number 11
_symmetry_space_group_name_Hall '-P 2yb'
_cell_length_a 7.496
_cell_length_b 4.513
_cell_length_c 7.497
_cell_angle_alpha 90.00
_cell_angle_beta 119.95
_cell_angle_gamma 90.00
loop_
_atom_site_label
_atom_site_fract_x
_atom_site_fract_y
_atom_site_fract_z
Mg1 0.053 0.250 0.264
Mg2 0.212 0.250 0.947
Mg3 0.265 0.750 0.212
Zn1 0.333 0.250 0.666
Cu1 0.109 0.750 0.494
Cu2 0.386 0.750 0.891
Cu3 0.494 0.250 0.386
```

(6)
This record from Alexandria describes a relaxed structure of YMgCd17. The functional is PBE.

Summary:
E_tot = -1.277 eV/atom

```
data_YMgCd17
_chemical_formula_sum 'Y3 Mg3 Cd51'
_symmetry_space_group_name_H-M 'R 3 m'
_symmetry_Int_Tables_number 160
_symmetry_space_group_name_Hall 'R 3 -2"'
_cell_length_a 10.0069
_cell_length_b 10.0069
_cell_length_c 15.4339
_cell_angle_alpha 90.00
_cell_angle_beta 90.00
_cell_angle_gamma 120.00
loop_
_atom_site_label
_atom_site_fract_x
_atom_site_fract_y
_atom_site_fract_z
Y1 0.0000 0.0000 0.0000
Mg1 0.0000 0.0000 0.2677
Cd1 0.0000 0.0000 0.5868
Cd2 0.0000 0.0000 0.7785
Cd3 0.0176 0.5088 0.5273
Cd4 0.0278 0.3577 0.3389
Cd5 0.0279 0.5140 0.1690
Cd6 0.0429 0.5214 0.8178
```

(7)
This record from Alexandria describes a relaxed structure of Li2NbPtRh. The functional is PBE.

Summary:
E_tot = -4.809 eV/atom

```
data_Li2NbPtRh
_chemical_formula_sum 'Li2 Nb1 Pt1 Rh1'
_symmetry_space_group_name_H-M 'P 4/m m m'
_symmetry_Int_Tables_number 123
_symmetry_space_group_name_Hall '-P 4 2'
_cell_length_a 4.125
_cell_length_b 4.125
_cell_length_c 5.187
_cell_angle_alpha 90.00
_cell_angle_beta 90.00
_cell_angle_gamma 90.00
loop_
_atom_site_label
_atom_site_fract_x
_atom_site_fract_y
_atom_site_fract_z
Li1 0.000 0.500 0.000
Nb1 0.000 0.000 0.500
Pt1 0.500 0.500 0.000
Rh1 0.500 0.500 0.500
```

(8)
This record from Alexandria describes a relaxed structure of Cs4InGe3Cl12. The functional is PBE.

Summary:
E_tot = -3.452 eV/atom

```
data_Cs4InGe3Cl12
_chemical_formula_sum 'Cs8 In2 Ge6 Cl24'
_symmetry_space_group_name_H-M 'I m -3 m'
_symmetry_Int_Tables_number 229
_symmetry_space_group_name_Hall '-I 4 2 3'
_cell_length_a 10.743
_cell_length_b 10.743
_cell_length_c 10.743
_cell_angle_alpha 90.00
_cell_angle_beta 90.00
_cell_angle_gamma 90.00
loop_
_atom_site_label
_atom_site_fract_x
_atom_site_fract_y
_atom_site_fract_z
Cs1 0.250 0.250 0.250
In1 0.000 0.000 0.000
Ge1 0.000 0.000 0.500
Cl1 0.000 0.000 0.254
Cl2 0.000 0.250 0.500
```